(1)
## TbPu2Zn (PBE-GGA)

Data for an optimized crystal structure of TbPu2Zn.

Output
The value obtained for the density of states at the Fermi level is 15.14 states/eV/f.u. For the energy of formation from the pure elements, the calculation gives 0.43 eV/f.u. The theoretical density is 11.31 g/cm³.

Cell: 3.443 3.443 8.817 Å, 90.00 90.00 90.00°
Sites, in units of the cell vectors:
Pu 0.000 0.000 0.789
Pu 0.000 0.000 0.211
Tb 0.500 0.500 0.500
Zn 0.500 0.500 0.000

(2)
## HfTh2Si2Ir7 (PBE-GGA)

Data for an optimized crystal structure of HfTh2Si2Ir7.

Output
The value obtained for the density of states at the Fermi level is 5.67 states/eV/f.u. The theoretical density is 15.72 g/cm³. The value obtained for the uncorrected formation energy is -0.919 eV/atom.

Cell: 4.035 4.035 13.382 Å, 84.69 84.69 89.75°
Sites, in units of the cell vectors:
Ir 0.376 0.376 0.424
Ir 0.545 0.046 0.851
Ir 0.046 0.545 0.851
Ir 0.455 0.954 0.149
Ir 0.500 0.500 0.000
Ir 0.954 0.455 0.149
Ir 0.624 0.624 0.576
Si 0.576 0.576 0.754
Si 0.424 0.424 0.246
Hf 0.000 0.000 0.000
Th 0.899 0.899 0.345
Th 0.101 0.101 0.655

(3)
## TaTlGaS2 (PBE-GGA)

Data for an optimized crystal structure of TaTlGaS2.

Output
The value obtained for the density of states at the Fermi level is 4.72 states/eV/f.u. The theoretical density is 6.48 g/cm³. The value obtained for the uncorrected formation energy is 1.443 eV/atom.

Cell: 5.142 5.031 5.142 Å, 90.00 90.00 90.00°
Sites, in units of the cell vectors:
S 0.500 0.000 0.000
S 0.000 0.000 0.500
Tl 0.000 0.000 0.000
Ta 0.500 0.500 0.500
Ga 0.000 0.500 0.000

(4)
## Tb6Pm3Pr2Sc (PBE-GGA)

Data for an optimized crystal structure of Tb6Pm3Pr2Sc.

Output
The value obtained for the density of states at the Fermi level is 15.36 states/eV/f.u. For the energy of formation from the pure elements, the calculation gives 0.29 eV/f.u. The theoretical density is 7.29 g/cm³.

Cell: 6.205 6.205 11.888 Å, 94.98 94.98 119.98°
Sites, in units of the cell vectors:
Pr 0.666 0.334 0.000
Pr 0.334 0.666 0.000
Tb 0.752 0.752 0.249
Tb 0.082 0.412 0.248
Tb 0.248 0.248 0.751
Tb 0.412 0.082 0.248
Tb 0.918 0.588 0.752
Tb 0.588 0.918 0.752
Pm 0.500 0.500 0.500
Pm 0.167 0.833 0.500
Pm 0.833 0.167 0.500
Sc 0.000 0.000 0.000

(5)
## Ga2MoPd2 (PBE-GGA)

Data for an optimized crystal structure of Ga2MoPd2.

Output
The value obtained for the density of states at the Fermi level is 3.75 states/eV/f.u. For the energy of formation from the pure elements, the calculation gives -1.26 eV/f.u. The theoretical density is 9.75 g/cm³.

Cell: 7.409 7.409 2.781 Å, 90.00 90.00 90.00°
Sites, in units of the cell vectors:
Mo 0.500 0.500 0.000
Mo 0.000 0.000 0.000
Pd 0.351 0.149 0.500
Pd 0.851 0.351 0.500
Pd 0.149 0.649 0.500
Pd 0.649 0.851 0.500
Ga 0.850 0.650 0.000
Ga 0.350 0.850 0.000
Ga 0.150 0.350 0.000
Ga 0.650 0.150 0.000

(6)
## CaHoTlI6 (PBE-GGA)

Data for an optimized crystal structure of CaHoTlI6.

Output
The value obtained for the density of states at the Fermi level is 0.00 states/eV/f.u. The theoretical density is 4.66 g/cm³. The value obtained for the uncorrected formation energy is -1.302 eV/atom.

Cell: 7.962 7.962 15.189 Å, 90.00 90.00 120.00°
Sites, in units of the cell vectors:
Tl 0.000 0.000 0.000
Tl 0.000 0.000 0.500
I 0.989 0.361 0.134
I 0.371 0.361 0.366
I 0.989 0.629 0.366
I 0.629 0.989 0.866
I 0.011 0.371 0.634
I 0.361 0.989 0.634
I 0.361 0.371 0.866
I 0.629 0.639 0.634
I 0.371 0.011 0.134
I 0.011 0.639 0.866
I 0.639 0.629 0.134
I 0.639 0.011 0.366
Ca 0.667 0.333 0.750
Ca 0.333 0.667 0.250
Ho 0.667 0.333 0.250
Ho 0.333 0.667 0.750

(7)
## PrSmErIn (PBE-GGA)

Data for an optimized crystal structure of PrSmErIn.

Output
The value obtained for the density of states at the Fermi level is 5.84 states/eV/f.u. For the energy of formation from the pure elements, the calculation gives -0.38 eV/f.u. The theoretical density is 7.96 g/cm³.

Cell: 5.528 5.528 5.531 Å, 119.99 119.99 90.00°
Sites, in units of the cell vectors:
In 0.250 0.750 0.500
Pr 0.750 0.250 0.500
Er 0.000 0.000 0.000
Sm 0.500 0.500 0.000

(8)
## BaGaPd2Pt2 (PBE-GGA)

Data for an optimized crystal structure of BaGaPd2Pt2.

Output
The value obtained for the density of states at the Fermi level is 4.57 states/eV/f.u. For the energy of formation from the pure elements, the calculation gives -1.10 eV/f.u. The theoretical density is 9.80 g/cm³.

Cell: 4.765 4.765 6.043 Å, 90.00 90.00 90.00°
Sites, in units of the cell vectors:
Ga 0.000 0.000 0.000
Pd 0.500 0.500 0.240
Pd 0.500 0.500 0.760
Ba 0.000 0.000 0.500
Pt 0.000 0.500 0.000
Pt 0.500 0.000 0.000

(9)
## HoGePt (PBE-GGA)

Data for an optimized crystal structure of HoGePt.

Output
The value obtained for the density of states at the Fermi level is 1.34 states/eV/f.u. For the energy of formation from the pure elements, the calculation gives -3.06 eV/f.u. The theoretical density is 11.58 g/cm³.

Cell: 4.119 6.823 8.830 Å, 90.00 90.00 90.00°
Sites, in units of the cell vectors:
Ho 0.000 0.643 0.856
Ho 0.000 0.069 0.591
Ho 0.000 0.569 0.409
Ho 0.000 0.143 0.144
Ge 0.500 0.832 0.067
Ge 0.500 0.747 0.615
Ge 0.500 0.332 0.933
Ge 0.500 0.247 0.385
Pt 0.500 0.505 0.175
Pt 0.500 0.878 0.342
Pt 0.500 0.005 0.825
Pt 0.500 0.378 0.658

(10)
## Ca2C (PBE-GGA)

Data for an optimized crystal structure of Ca2C.

Output
For the energy of formation from the pure elements, the calculation gives 1.12 eV/f.u. The theoretical density is 2.62 g/cm³.

Cell: 4.387 6.685 7.978 Å, 90.00 90.00 90.00°
Sites, in units of the cell vectors:
Ca 0.750 0.364 0.906
Ca 0.750 0.993 0.155
Ca 0.250 0.136 0.406
Ca 0.250 0.007 0.845
Ca 0.750 0.493 0.345
Ca 0.250 0.636 0.094
Ca 0.250 0.507 0.655
Ca 0.750 0.864 0.594
C 0.250 0.247 0.086
C 0.750 0.753 0.914
C 0.750 0.253 0.586
C 0.250 0.747 0.414

(11)
## MgFe2Br (PBE-GGA)

Data for an optimized crystal structure of MgFe2Br.

Output
The value obtained for the density of states at the Fermi level is 3.47 states/eV/f.u. The theoretical density is 4.63 g/cm³. The value obtained for the uncorrected formation energy is 0.388 eV/atom.

Cell: 6.173 6.173 6.173 Å, 151.01 136.89 52.79°
Sites, in units of the cell vectors:
Fe 0.000 0.000 0.000
Fe 0.839 0.339 0.500
Mg 0.469 0.469 0.000
Br 0.192 0.692 0.500

(12)
## Ba2PmRe2N6 (PBE-GGA)

Data for an optimized crystal structure of Ba2PmRe2N6.

Output
The value obtained for the density of states at the Fermi level is 3.42 states/eV/f.u. The theoretical density is 6.94 g/cm³. The value obtained for the uncorrected formation energy is -0.733 eV/atom.

Cell: 6.240 6.305 7.369 Å, 118.77 90.00 119.66°
Sites, in units of the cell vectors:
N 0.711 0.898 0.223
N 0.233 0.467 0.361
N 0.767 0.533 0.639
N 0.813 0.102 0.777
N 0.187 0.898 0.223
N 0.289 0.102 0.777
Ba 0.714 0.429 0.189
Ba 0.286 0.571 0.811
Re 0.964 0.928 0.800
Re 0.036 0.072 0.200
Pm 0.500 0.000 0.500

Repeat the seventh record exactly.
## PrSmErIn (PBE-GGA)

Data for an optimized crystal structure of PrSmErIn.

Output
The value obtained for the density of states at the Fermi level is 5.84 states/eV/f.u. For the energy of formation from the pure elements, the calculation gives -0.38 eV/f.u. The theoretical density is 7.96 g/cm³.

Cell: 5.528 5.528 5.531 Å, 119.99 119.99 90.00°
Sites, in units of the cell vectors:
In 0.250 0.750 0.500
Pr 0.750 0.250 0.500
Er 0.000 0.000 0.000
Sm 0.500 0.500 0.000

theoretical density of number 5 (Ga2MoPd2)?
9.75 g/cm³

Look up the theoretical density of the twelfth one.
6.94 g/cm³

Which of these has the lowest theoretical density?
Ca2C